Here is TlVRuO2 after structural relaxation from Alexandria. Energies are from PBE+U.

abc: 3.780 5.190 3.780
angles: 90.00 90.00 90.00
Atoms (fractional coordinates):
Tl: 0.500 0.500 0.500
O: 0.500 0.000 0.000
V: 0.000 0.000 0.000
Ru: 0.000 0.500 0.000
O: 0.000 0.000 0.500

The space group is P4/mmm (123). The value obtained for the mass density is 8.696 Mg/m³. Its crystal system is tetragonal. As for the magnetization: 0.00 Bohr magnetons per cell. The calculation puts the total energy at -31.0 eV per cell.